First-principles (PBE-GGA) data for Nd3Sm6Tm2 after structural relaxation, as listed in Alexandria via LeMat-Bulk.

```
Nd3Sm6Tm2
1.0
3.6090 0.0000 0.2214
1.7977 3.1294 0.2214
-0.1837 -0.1063 32.5202
Nd Sm Tm
3 6 2
Direct
0.0000 0.0000 0.0000
0.7281 0.7281 0.8157
0.2719 0.2719 0.1843
0.9076 0.9076 0.2771
0.0924 0.0924 0.7229
0.8180 0.8180 0.5460
0.1820 0.1820 0.4540
0.6359 0.6359 0.0922
0.3641 0.3641 0.9078
0.5448 0.5448 0.3655
0.4552 0.4552 0.6345
```

Calculated values
**Distance to the lowest polymorph of the same formula**: 0.000 eV/atom
**Formation energy from the elements**: 0.0172 eV/atom
**Space-group type**: R-3m (166)

First-principles (PBE-GGA) data for Nd2In8Ir after structural relaxation, as listed in Alexandria via LeMat-Bulk.

```
Nd2In8Ir
1.0
-1.4129 -3.8229 -2.3570
0.6524 -2.6194 3.8574
-11.6449 2.1776 3.4483
Nd In Ir
2 8 1
Direct
0.0000 0.0000 0.3066
0.0000 0.0000 0.6934
0.0000 0.5000 0.5000
0.5000 0.0000 0.5000
0.5000 0.5000 0.3084
0.5000 0.5000 0.6916
0.0000 0.5000 0.1203
0.5000 0.0000 0.1203
0.0000 0.5000 0.8797
0.5000 0.0000 0.8797
0.0000 0.0000 0.0000
```

Calculated values
**Formation energy from the elements**: -0.4169 eV/atom
**Space-group type**: P4/mmm (123)

First-principles (PBE-GGA) data for PrSmTmTl after structural relaxation, as listed in Alexandria via LeMat-Bulk.

```
PrSmTmTl
1.0
5.0030 0.0000 0.0000
0.0000 4.8710 0.0000
0.0000 0.0000 4.9026
Pr Sm Tm Tl
1 1 1 1
Direct
0.0000 0.5000 0.5000
0.0000 0.0000 0.0000
0.5000 0.0000 0.5000
0.5000 0.5000 0.0000
```

Calculated values
**Distance to the lowest polymorph of the same formula**: 0.000 eV/atom
**Formation energy from the elements**: -0.1869 eV/atom
**Space-group type**: Pmmm (47)

First-principles (PBE-GGA) data for CsMg2AgBr after structural relaxation, as listed in Alexandria via LeMat-Bulk.

```
CsMg2AgBr
1.0
6.4807 0.0000 0.0000
0.0000 5.3801 0.0000
0.0000 0.0000 6.4807
Cs Mg Br Ag
1 2 1 1
Direct
0.5000 0.5000 0.5000
0.0000 0.0000 0.5000
0.5000 0.0000 0.0000
0.0000 0.0000 0.0000
0.0000 0.5000 0.0000
```

Calculated values
**Space-group type**: P4/mmm (123)
**Formation energy from raw total energies**: 0.2660 eV per atom

First-principles (PBE-GGA) data for CsHfGa after structural relaxation, as listed in Alexandria via LeMat-Bulk.

```
CsHfGa
1.0
-6.9614 4.4797 -9.3143
-2.5112 -2.1500 0.8428
-3.8321 6.8997 6.1825
Cs Hf Ga
4 4 4
Direct
0.8417 0.2500 0.4411
0.6583 0.7500 0.9411
0.1583 0.7500 0.5589
0.3417 0.2500 0.0589
0.4399 0.2500 0.4115
0.0601 0.7500 0.9115
0.5601 0.7500 0.5885
0.9399 0.2500 0.0885
0.9029 0.2500 0.8052
0.5971 0.7500 0.3052
0.0971 0.7500 0.1948
0.4029 0.2500 0.6948
```

Calculated values
**Distance to the lowest polymorph of the same formula**: 0.320 eV/atom
**Formation energy from the elements**: 0.4706 eV/atom
**Space-group type**: Pnma (62)

First-principles (PBE-GGA) data for Li3Cd2Ga3 after structural relaxation, as listed in Alexandria via LeMat-Bulk.

```
Li3Cd2Ga3
1.0
-2.1500 3.6796 0.1088
-3.7281 -2.1664 -0.4041
2.4458 -1.3360 7.8048
Li Cd Ga
3 2 3
Direct
0.8821 0.3817 0.7634
0.5000 0.5000 0.0000
0.1179 0.6183 0.2366
0.7446 0.7450 0.4901
0.2554 0.2550 0.5099
0.3817 0.8815 0.7630
0.6183 0.1185 0.2370
0.0000 0.0000 0.0000
```

Calculated values
**Distance to the lowest polymorph of the same formula**: 0.000 eV/atom
**Formation energy from the elements**: -0.2090 eV/atom
**Space-group type**: C2/m (12)

First-principles (PBE-GGA) data for Pm2Dy5Pt4 after structural relaxation, as listed in Alexandria via LeMat-Bulk.

```
Pm2Dy5Pt4
1.0
3.7660 0.0000 0.0000
0.0000 6.7458 0.9233
-1.8830 -0.5606 12.3233
Pm Dy Pt
2 5 4
Direct
0.9083 0.6744 0.8166
0.0917 0.3256 0.1834
0.1322 0.8006 0.2644
0.8678 0.1994 0.7356
0.2364 0.2685 0.4727
0.5000 0.0000 0.0000
0.7636 0.7315 0.5273
0.6711 0.5018 0.3421
0.0251 0.6969 0.0501
0.3289 0.4982 0.6579
0.9749 0.3031 0.9499
```

Calculated values
**Formation energy from the elements**: -0.6986 eV/atom
**Space-group type**: C2/m (12)

First-principles (PBE-GGA) data for CaGa2Ge2 after structural relaxation, as listed in Alexandria via LeMat-Bulk.

```
CaGa2Ge2
1.0
-4.1666 -2.1587 -0.2260
1.9027 -3.8680 1.8681
-2.2147 -1.3908 5.2834
Ge Ca Ga
2 1 2
Direct
0.7500 0.2500 0.5000
0.2500 0.7500 0.5000
0.0000 0.0000 0.0000
0.3726 0.3726 0.2548
0.6274 0.6274 0.7452
```

Calculated values
**Formation energy from the elements**: -0.2596 eV/atom
**Space-group type**: I4/mmm (139)